First-principles (PBE-GGA) data for TaIr2Pt after structural relaxation, as listed in the Alexandria database.

Calculated values
Uncorrected energy in eV per atom: -9.30
Total moment in μB/atom: 0.000
Crystal system: orthorhombic
Formation energy in kJ/mol of formula units: -151

Cell and atoms, written as CIF:
```
data_TaIr2Pt
_chemical_formula_sum 'Ta2 Ir4 Pt2'
_cell_length_a 5.588
_cell_length_b 7.693
_cell_length_c 2.889
_cell_angle_alpha 90.00
_cell_angle_beta 90.00
_cell_angle_gamma 90.00
_symmetry_space_group_name_H-M 'C m m m'
_symmetry_Int_Tables_number 65
_symmetry_space_group_name_Hall '-C 2 2'
loop_
_atom_site_label
_atom_site_fract_x
_atom_site_fract_y
_atom_site_fract_z
Ta1 0.000 0.000 0.000
Ir1 0.250 0.250 0.500
Pt1 0.000 0.500 0.000
```



First-principles (PBE-GGA) data for AlZn2Cu7 after structural relaxation, as listed in the Alexandria database.

Calculated values
Uncorrected energy in eV per atom: -3.39
Total moment in μB/atom: 0.000
Crystal system: orthorhombic
Formation energy in kJ/mol of formula units: 103

Cell and atoms, written as CIF:
```
data_AlZn2Cu7
_chemical_formula_sum 'Al2 Zn4 Cu14'
_cell_length_a 6.537
_cell_length_b 16.695
_cell_length_c 2.615
_cell_angle_alpha 90.00
_cell_angle_beta 90.00
_cell_angle_gamma 90.00
_symmetry_space_group_name_H-M 'C m m m'
_symmetry_Int_Tables_number 65
_symmetry_space_group_name_Hall '-C 2 2'
loop_
_atom_site_label
_atom_site_fract_x
_atom_site_fract_y
_atom_site_fract_z
Al1 0.000 0.000 0.000
Zn1 0.000 0.242 0.500
Cu1 0.000 0.369 0.000
Cu2 0.000 0.500 0.500
Cu3 0.188 0.108 0.500
```



First-principles (PBE-GGA) data for La2AgAs4Ir3 after structural relaxation, as listed in the Alexandria database.

Calculated values
Uncorrected energy in eV per atom: -6.52
Total moment in μB/atom: 0.000
Crystal system: tetragonal
Formation energy in kJ/mol of formula units: -706

Cell and atoms, written as CIF:
```
data_La2AgAs4Ir3
_chemical_formula_sum 'La2 Ag1 As4 Ir3'
_cell_length_a 4.452
_cell_length_b 4.452
_cell_length_c 9.940
_cell_angle_alpha 90.00
_cell_angle_beta 90.00
_cell_angle_gamma 90.00
_symmetry_space_group_name_H-M 'P -4 m 2'
_symmetry_Int_Tables_number 115
_symmetry_space_group_name_Hall 'P -4 -2'
loop_
_atom_site_label
_atom_site_fract_x
_atom_site_fract_y
_atom_site_fract_z
La1 0.000 0.500 0.243
Ag1 0.000 0.000 0.500
As1 0.000 0.000 0.000
As2 0.000 0.500 0.641
As3 0.500 0.500 0.000
Ir1 0.000 0.500 0.889
Ir2 0.500 0.500 0.500
```



First-principles (PBE-GGA) data for NpSnIr after structural relaxation, as listed in the Alexandria database.

Calculated values
Uncorrected energy in eV per atom: -8.01
Total moment in μB/atom: 1.210
Crystal system: tetragonal
Formation energy in kJ/mol of formula units: 172

Cell and atoms, written as CIF:
```
data_NpSnIr
_chemical_formula_sum 'Np2 Sn2 Ir2'
_cell_length_a 2.898
_cell_length_b 2.898
_cell_length_c 15.682
_cell_angle_alpha 90.00
_cell_angle_beta 90.00
_cell_angle_gamma 90.00
_symmetry_space_group_name_H-M 'I 4 m m'
_symmetry_Int_Tables_number 107
_symmetry_space_group_name_Hall 'I 4 -2'
loop_
_atom_site_label
_atom_site_fract_x
_atom_site_fract_y
_atom_site_fract_z
Np1 0.000 0.000 0.000
Sn1 0.000 0.000 0.668
Ir1 0.000 0.000 0.842
```



First-principles (PBE-GGA) data for Dy5Hg4Pb after structural relaxation, as listed in the Alexandria database.

Calculated values
Uncorrected energy in eV per atom: -3.26
Total moment in μB/atom: 0.000
Crystal system: tetragonal
Formation energy in kJ/mol of formula units: -455

Cell and atoms, written as CIF:
```
data_Dy5Hg4Pb
_chemical_formula_sum 'Dy5 Hg4 Pb1'
_cell_length_a 3.732
_cell_length_b 3.732
_cell_length_c 18.844
_cell_angle_alpha 90.00
_cell_angle_beta 90.00
_cell_angle_gamma 90.00
_symmetry_space_group_name_H-M 'P 4/m m m'
_symmetry_Int_Tables_number 123
_symmetry_space_group_name_Hall '-P 4 2'
loop_
_atom_site_label
_atom_site_fract_x
_atom_site_fract_y
_atom_site_fract_z
Dy1 0.000 0.000 0.000
Dy2 0.000 0.000 0.196
Dy3 0.000 0.000 0.392
Hg1 0.500 0.500 0.100
Hg2 0.500 0.500 0.292
Pb1 0.500 0.500 0.500
```



First-principles (PBE-GGA) data for KAsPtAu after structural relaxation, as listed in the Alexandria database.

Calculated values
Uncorrected energy in eV per atom: -4.07
Total moment in μB/atom: 0.000
Crystal system: tetragonal
Formation energy in kJ/mol of formula units: -115

Cell and atoms, written as CIF:
```
data_KAsPtAu
_chemical_formula_sum 'K2 As2 Pt2 Au2'
_cell_length_a 4.103
_cell_length_b 4.103
_cell_length_c 11.953
_cell_angle_alpha 90.00
_cell_angle_beta 90.00
_cell_angle_gamma 90.00
_symmetry_space_group_name_H-M 'P 4/n m m'
_symmetry_Int_Tables_number 129
loop_
_symmetry_equiv_pos_as_xyz
'x,y,z'
'-x,-y,-z'
'-y+1/2,x,z'
'y+1/2,-x,-z'
'-x+1/2,-y+1/2,z'
'x+1/2,y+1/2,-z'
'y,-x+1/2,z'
'-y,x+1/2,-z'
'x+1/2,-y,-z'
'-x+1/2,y,z'
'-y,-x,-z'
'y,x,z'
'-x,y+1/2,-z'
'x,-y+1/2,z'
'y+1/2,x+1/2,-z'
'-y+1/2,-x+1/2,z'
loop_
_atom_site_label
_atom_site_fract_x
_atom_site_fract_y
_atom_site_fract_z
K1 0.250 0.250 0.227
As1 0.250 0.250 0.622
Pt1 0.250 0.750 0.500
Au1 0.250 0.750 0.000
```



First-principles (PBE-GGA) data for AlHg2Os after structural relaxation, as listed in the Alexandria database.

Calculated values
Uncorrected energy in eV per atom: -3.34
Total moment in μB/atom: 0.000
Crystal system: tetragonal
Formation energy in kJ/mol of formula units: 212

Cell and atoms, written as CIF:
```
data_AlHg2Os
_chemical_formula_sum 'Al1 Hg2 Os1'
_cell_length_a 4.055
_cell_length_b 4.055
_cell_length_c 4.285
_cell_angle_alpha 90.00
_cell_angle_beta 90.00
_cell_angle_gamma 90.00
_symmetry_space_group_name_H-M 'P 4/m m m'
_symmetry_Int_Tables_number 123
_symmetry_space_group_name_Hall '-P 4 2'
loop_
_atom_site_label
_atom_site_fract_x
_atom_site_fract_y
_atom_site_fract_z
Al1 0.000 0.000 0.000
Hg1 0.000 0.500 0.500
Os1 0.500 0.500 0.000
```



First-principles (PBE-GGA) data for Hg3CI after structural relaxation, as listed in the Alexandria database.

Calculated values
Uncorrected energy in eV per atom: -0.66
Uncorrected formation energy in kJ/mol of atoms: 161.7
Total moment in μB/atom: 0.426
Crystal system: cubic

Cell and atoms, written as CIF:
```
data_Hg3CI
_chemical_formula_sum 'Hg3 C1 I1'
_cell_length_a 6.443
_cell_length_b 6.443
_cell_length_c 6.443
_cell_angle_alpha 90.00
_cell_angle_beta 90.00
_cell_angle_gamma 90.00
_symmetry_space_group_name_H-M 'P m -3 m'
_symmetry_Int_Tables_number 221
_symmetry_space_group_name_Hall '-P 4 2 3'
loop_
_atom_site_label
_atom_site_fract_x
_atom_site_fract_y
_atom_site_fract_z
Hg1 0.000 0.000 0.500
C1 0.500 0.500 0.500
I1 0.000 0.000 0.000
```